No. 1
A plane-wave DFT calculation with PBE-GGA was carried out for a geometry-optimized V2Os2Pd structure.

Results
For the density of states at the Fermi level, the calculation gives 9.882 states/eV/cell. The relative energy among the computed polymorphs comes out at 0 meV/atom.

abc: 7.213 7.213 2.850
angles: 90.00 90.00 90.00
Space group P4/mbm (No. 127)
Inequivalent atoms, fractional coordinates:
V1 0.158 0.342 0.000
Os1 0.138 0.638 0.500
Pd1 0.000 0.000 0.500

No. 2
A plane-wave DFT calculation with PBE-GGA was carried out for a geometry-optimized SbHCI2 structure.

Results
For the density of states at the Fermi level, the calculation gives 3.701 states/eV/cell. The relative energy among the computed polymorphs comes out at 217 meV/atom.

abc: 5.537 5.537 3.874
angles: 90.00 90.00 90.00
Space group P4/mmm (No. 123)
Inequivalent atoms, fractional coordinates:
Sb1 0.000 0.000 0.000
H1 0.000 0.000 0.500
C1 0.500 0.500 0.000
I1 0.000 0.500 0.500

No. 3
A plane-wave DFT calculation with PBE-GGA was carried out for a geometry-optimized BePdI structure.

Results
The calculation puts the formation energy from raw total energies at 10.8 meV/atom. For the density of states at the Fermi level, the calculation gives 0.933 states/eV/cell. The relative energy among the computed polymorphs comes out at 324 meV/atom.

abc: 3.831 5.435 6.855
angles: 110.13 99.52 95.27
Space group P1 (No. 1)
Inequivalent atoms, fractional coordinates:
Be1 0.000 0.000 0.000
Be2 0.449 0.941 0.769
Pd1 0.107 0.127 0.343
Pd2 0.482 0.806 0.038
I1 0.011 0.283 0.779
I2 0.325 0.646 0.396

No. 4
A plane-wave DFT calculation with PBE-GGA was carried out for a geometry-optimized Li6TeO6 structure.

Results
The calculation puts the formation energy from raw total energies at -1748.7 meV/atom. For the density of states at the Fermi level, the calculation gives 0.000 states/eV/cell. The relative energy among the computed polymorphs comes out at 55 meV/atom.

abc: 5.8249 5.8249 13.6747
angles: 90.00 90.00 120.00
Space group R-3 (No. 148, hexagonal axes)
Inequivalent atoms, fractional coordinates:
Li1 0.0231 0.6126 0.3969
Te1 0.0000 0.0000 0.5000
O1 0.0219 0.7369 0.5824

No. 5
A plane-wave DFT calculation with PBE-GGA was carried out for a geometry-optimized La6Si2Au structure.

Results
The calculation puts the formation energy from raw total energies at -509.0 meV/atom. For the density of states at the Fermi level, the calculation gives 39.921 states/eV/cell.

abc: 10.127 10.194 10.428
angles: 90.00 90.00 90.00
Space group Immm (No. 71)
Inequivalent atoms, fractional coordinates:
La1 0.000 0.198 0.248
La2 0.207 0.500 0.326
La3 0.234 0.326 0.000
Si1 0.000 0.371 0.500
Si2 0.000 0.500 0.114
Au1 0.000 0.000 0.000
Au2 0.000 0.000 0.500

No. 6
A plane-wave DFT calculation with PBE-GGA was carried out for a geometry-optimized ZrCd2Tc structure.

Results
For the density of states at the Fermi level, the calculation gives 2.139 states/eV/cell. The relative energy among the computed polymorphs comes out at 48 meV/atom.

abc: 4.022 4.022 4.704
angles: 90.00 90.00 90.00
Space group P4/mmm (No. 123)
Inequivalent atoms, fractional coordinates:
Zr1 0.000 0.000 0.000
Cd1 0.000 0.500 0.500
Tc1 0.500 0.500 0.000

No. 7
A plane-wave DFT calculation with PBE-GGA was carried out for a geometry-optimized Tc2NiHRh structure.

Results
For the density of states at the Fermi level, the calculation gives 5.329 states/eV/cell. The relative energy among the computed polymorphs comes out at 16 meV/atom.

abc: 3.816 3.816 3.923
angles: 90.00 90.00 90.00
Space group P4/mmm (No. 123)
Inequivalent atoms, fractional coordinates:
Tc1 0.000 0.500 0.000
Ni1 0.000 0.000 0.500
H1 0.500 0.500 0.000
Rh1 0.500 0.500 0.500

No. 8
A plane-wave DFT calculation with PBE-GGA was carried out for a geometry-optimized Mg2In structure.

Results
For the density of states at the Fermi level, the calculation gives 2.491 states/eV/cell. The total energy is -2.038 eV/atom.

abc: 5.329 3.290 8.213
angles: 90.00 103.83 90.00
Space group Pm (No. 6)
Inequivalent atoms, fractional coordinates:
Mg1 0.000 0.000 0.000
Mg2 0.025 0.500 0.663
Mg3 0.288 0.500 0.341
Mg4 0.493 0.500 0.005
In1 0.532 0.000 0.683
In2 0.783 0.000 0.324

No. 9
A plane-wave DFT calculation with PBE-GGA was carried out for a geometry-optimized YTm12Co5 structure.

Results
For the density of states at the Fermi level, the calculation gives 34.039 states/eV/cell. The total energy is -5.465 eV/atom.

abc: 9.308 9.333 9.916
angles: 90.00 90.00 90.00
Space group Immm (No. 71)
Inequivalent atoms, fractional coordinates:
Y1 0.000 0.000 0.000
Tm1 0.000 0.191 0.294
Tm2 0.188 0.500 0.314
Tm3 0.212 0.318 0.000
Co1 0.000 0.000 0.500
Co2 0.000 0.373 0.500
Co3 0.000 0.500 0.113

No. 10
A plane-wave DFT calculation with PBE-GGA was carried out for a geometry-optimized Cs2InBS4 structure.

Results
The calculation puts the formation energy from raw total energies at -828.4 meV/atom. For the density of states at the Fermi level, the calculation gives 0.000 states/eV/cell.

abc: 5.982 13.986 25.033
angles: 90.00 90.00 90.00
Space group Fddd (No. 70, origin choice 2)
Inequivalent atoms, fractional coordinates:
Cs1 0.125 0.125 0.303
In1 0.125 0.125 0.125
B1 0.125 0.125 0.625
S1 0.065 0.293 0.829